(1)
CaZnTc2 | SCAN | PBEsol geometry

The structure in POSCAR format:
```
CaZnTc2
1.0
2.676 0.000 0.016
0.000 4.837 0.000
-0.402 0.000 5.033
Tc Zn Ca
2 1 1
Direct
0.356 0.000 0.255
0.644 0.000 0.745
0.500 0.500 0.000
0.000 0.500 0.500
```

Values from the calculation:
- ΔH_f (0 K) (eV/atom) = 0.471

***

(2)
PuSnAu2 | SCAN | PBEsol geometry

The structure in POSCAR format:
```
PuSnAu2
1.0
4.913 0.000 0.000
2.457 4.255 0.000
2.457 1.418 4.012
Au Pu Sn
2 1 1
Direct
0.250 0.250 0.250
0.750 0.750 0.750
0.500 0.500 0.500
0.000 0.000 0.000
```

Values from the calculation:
- ΔH_f (0 K) (eV/atom) = -0.340

***

(3)
LaMg2W | SCAN | PBEsol geometry

The structure in POSCAR format:
```
LaMg2W
1.0
4.562 0.000 0.000
0.000 4.562 0.000
-2.281 -2.281 4.217
Mg W La
2 1 1
Direct
0.000 0.000 0.000
0.750 0.250 0.500
0.500 0.500 0.000
0.250 0.750 0.500
```

Values from the calculation:
- ΔH_f (0 K) (eV/atom) = 0.705

***

(4)
BaTl2Au2 | SCAN | PBEsol geometry

The structure in POSCAR format:
```
BaTl2Au2
1.0
-3.151 -3.827 -1.626
0.356 -2.281 4.679
-2.630 5.693 0.066
Ba Au Tl
1 2 2
Direct
0.000 0.000 0.000
0.750 0.250 0.500
0.250 0.750 0.500
0.356 0.356 0.712
0.644 0.644 0.288
```

Values from the calculation:
- ΔH_f (0 K) (eV/atom) = -0.476

***

no.,V (Å³ per cell)
1,65
2,84
3,88
4,138